Entry 1:
VASP calculation (PBE-GGA) on crystalline RbOs2PtC at its relaxed geometry.

a = 5.3510 Å, b = 5.3510 Å, c = 3.8543 Å
α = 90.00°, β = 90.00°, γ = 90.00°
Element x y z (fractional)
1 Rb 0.0000 0.0000 0.0000
2 Os 0.0000 0.5000 0.5000
3 Os 0.5000 0.0000 0.5000
4 Pt 0.5000 0.5000 0.5000
5 C 0.5000 0.5000 0.0000

Energy of formation from the pure elements (meV/atom): 2294
Magnetic moment (μB per formula unit): 6.10
SG: P4/mmm

***

Entry 2:
VASP calculation (PBE-GGA) on crystalline Ba2Ge3PbAu12 at its relaxed geometry.

a = 8.6096 Å, b = 8.6096 Å, c = 8.6096 Å
α = 64.40°, β = 64.40°, γ = 64.40°
Element x y z (fractional)
1 Ba 0.1064 0.1064 0.1064
2 Ba 0.8936 0.8936 0.8936
3 Ge 0.0000 0.5000 0.5000
4 Ge 0.5000 0.0000 0.5000
5 Ge 0.5000 0.5000 0.0000
6 Pb 0.5000 0.5000 0.5000
7 Au 0.1167 0.6306 0.6306
8 Au 0.1753 0.1753 0.6426
9 Au 0.1753 0.6426 0.1753
10 Au 0.3574 0.8247 0.8247
11 Au 0.3694 0.3694 0.8833
12 Au 0.3694 0.8833 0.3694
13 Au 0.6306 0.1167 0.6306
14 Au 0.6306 0.6306 0.1167
15 Au 0.6426 0.1753 0.1753
16 Au 0.8247 0.3574 0.8247
17 Au 0.8247 0.8247 0.3574
18 Au 0.8833 0.3694 0.3694

Energy of formation from the pure elements (meV/atom): -40
Magnetic moment (μB per formula unit): 0.00
SG: R-3m

***

Entry 3:
VASP calculation (PBE-GGA) on crystalline MnGaAu at its relaxed geometry.

a = 2.8980 Å, b = 2.8980 Å, c = 11.2117 Å
α = 90.00°, β = 90.00°, γ = 90.00°
Element x y z (fractional)
1 Mn 0.0000 0.0000 0.0000
2 Mn 0.5000 0.5000 0.5000
3 Ga 0.0000 0.0000 0.6464
4 Ga 0.5000 0.5000 0.1464
5 Au 0.0000 0.0000 0.3259
6 Au 0.5000 0.5000 0.8259

Energy of formation from the pure elements (meV/atom): -50
Magnetic moment (μB per formula unit): 3.25
SG: I4mm

***

Entry 4:
VASP calculation (PBE-GGA) on crystalline CaMgPt at its relaxed geometry.

a = 5.3627 Å, b = 4.7936 Å, c = 5.7368 Å
α = 90.00°, β = 105.81°, γ = 90.00°
Element x y z (fractional)
1 Ca 0.2040 0.2500 0.4012
2 Ca 0.7960 0.7500 0.5988
3 Mg 0.3476 0.7500 0.9977
4 Mg 0.6524 0.2500 0.0023
5 Pt 0.1138 0.2500 0.8776
6 Pt 0.8862 0.7500 0.1224

Energy of formation from the pure elements (meV/atom): -731
Magnetic moment (μB per formula unit): 0.00
SG: P2_1/m